--- i ---
Here is a relaxed structure of CdIn2Sn3 from the Alexandria database. Energies are from GGA-PBE.

abc: 8.926 8.926 5.813
angles: 94.04 94.04 44.45
Element x y z (fractional)
1 Cd 0.126 0.874 0.750
2 Cd 0.874 0.126 0.250
3 In 0.207 0.455 0.905
4 In 0.455 0.207 0.405
5 In 0.545 0.793 0.595
6 In 0.793 0.545 0.095
7 Sn 0.036 0.280 0.590
8 Sn 0.280 0.036 0.090
9 Sn 0.376 0.624 0.250
10 Sn 0.624 0.376 0.750
11 Sn 0.720 0.964 0.910
12 Sn 0.964 0.720 0.410

Symmetry: No. 15
Size of the total moment: 0.00 μB/f.u.

--- ii ---
Here is a relaxed structure of CdIn2Sn3 from the Alexandria database. Energies are from GGA-PBE.

abc: 6.121 6.121 10.121
angles: 99.06 99.06 116.94
Element x y z (fractional)
1 Cd 0.125 0.875 0.750
2 Cd 0.875 0.125 0.250
3 In 0.037 0.286 0.575
4 In 0.286 0.037 0.075
5 In 0.714 0.963 0.925
6 In 0.963 0.714 0.425
7 Sn 0.207 0.453 0.910
8 Sn 0.376 0.624 0.250
9 Sn 0.453 0.207 0.410
10 Sn 0.547 0.793 0.590
11 Sn 0.624 0.376 0.750
12 Sn 0.793 0.547 0.090

Symmetry: No. 15
Size of the total moment: 0.00 μB/f.u.

Which one sits at the bottom of the stability order? i does.

--- i ---
Here is a relaxed structure of Cd2In4Sn from the Alexandria database. Energies are from GGA-PBE.

abc: 18.434 18.434 18.434
angles: 10.56 10.56 10.56
Element x y z (fractional)
1 Cd 0.071 0.071 0.071
2 Cd 0.929 0.929 0.929
3 In 0.216 0.216 0.216
4 In 0.358 0.358 0.358
5 In 0.642 0.642 0.642
6 In 0.784 0.784 0.784
7 Sn 0.500 0.500 0.500

Symmetry: No. 166
Size of the total moment: 0.00 μB/f.u.

--- ii ---
Here is a relaxed structure of Cd2In4Sn from the Alexandria database. Energies are from GGA-PBE.

abc: 6.416 6.416 6.416
angles: 101.09 101.09 127.97
Element x y z (fractional)
1 Cd 0.250 0.750 0.500
2 Cd 0.750 0.250 0.500
3 In 0.194 0.194 0.389
4 In 0.194 0.806 0.000
5 In 0.806 0.194 0.000
6 In 0.806 0.806 0.611
7 Sn 0.500 0.500 0.000

Symmetry: No. 139
Size of the total moment: 0.00 μB/f.u.

Which one sits at the bottom of the stability order? ii does.

--- i ---
Here is a relaxed structure of Cd12In6Sn from the Alexandria database. Energies are from GGA-PBE.

abc: 8.100 8.100 8.100
angles: 78.59 78.59 78.59
Element x y z (fractional)
1 Cd 0.019 0.673 0.154
2 Cd 0.127 0.364 0.443
3 Cd 0.154 0.019 0.673
4 Cd 0.327 0.846 0.981
5 Cd 0.364 0.443 0.127
6 Cd 0.443 0.127 0.364
7 Cd 0.557 0.873 0.636
8 Cd 0.636 0.557 0.873
9 Cd 0.673 0.154 0.019
10 Cd 0.846 0.981 0.327
11 Cd 0.873 0.636 0.557
12 Cd 0.981 0.327 0.846
13 In 0.172 0.631 0.771
14 In 0.229 0.828 0.369
15 In 0.369 0.229 0.828
16 In 0.631 0.771 0.172
17 In 0.771 0.172 0.631
18 In 0.828 0.369 0.229
19 Sn 0.500 0.500 0.500

Symmetry: No. 148
Size of the total moment: 0.00 μB/f.u.

--- ii ---
Here is a relaxed structure of Cd12In6Sn from the Alexandria database. Energies are from GGA-PBE.

abc: 8.010 8.010 8.010
angles: 98.33 98.33 98.33
Element x y z (fractional)
1 Cd 0.034 0.118 0.690
2 Cd 0.118 0.690 0.034
3 Cd 0.200 0.489 0.704
4 Cd 0.296 0.800 0.511
5 Cd 0.310 0.966 0.882
6 Cd 0.489 0.704 0.200
7 Cd 0.511 0.296 0.800
8 Cd 0.690 0.034 0.118
9 Cd 0.704 0.200 0.489
10 Cd 0.800 0.511 0.296
11 Cd 0.882 0.310 0.966
12 Cd 0.966 0.882 0.310
13 In 0.055 0.271 0.347
14 In 0.271 0.347 0.055
15 In 0.347 0.055 0.271
16 In 0.653 0.945 0.729
17 In 0.729 0.653 0.945
18 In 0.945 0.729 0.653
19 Sn 0.500 0.500 0.500

Symmetry: No. 148
Size of the total moment: 0.00 μB/f.u.

Which one sits at the bottom of the stability order? i does.

--- i ---
Here is a relaxed structure of Cd2In6Sn from the Alexandria database. Energies are from GGA-PBE.

abc: 7.113 7.113 5.345
angles: 90.20 90.20 89.69
Element x y z (fractional)
1 Cd 0.234 0.234 0.227
2 Cd 0.766 0.766 0.773
3 In 0.113 0.451 0.735
4 In 0.165 0.835 0.000
5 In 0.451 0.113 0.735
6 In 0.549 0.887 0.265
7 In 0.835 0.165 0.000
8 In 0.887 0.549 0.265
9 Sn 0.500 0.500 0.500

Symmetry: No. 12
Size of the total moment: 0.00 μB/f.u.

--- ii ---
Here is a relaxed structure of Cd2In6Sn from the Alexandria database. Energies are from GGA-PBE.

abc: 4.322 8.105 8.105
angles: 119.61 90.00 90.00
Element x y z (fractional)
1 Cd 0.000 0.169 0.831
2 Cd 0.000 0.831 0.169
3 In 0.000 0.230 0.495
4 In 0.000 0.495 0.230
5 In 0.000 0.773 0.773
6 In 0.500 0.097 0.097
7 In 0.500 0.502 0.904
8 In 0.500 0.904 0.502
9 Sn 0.500 0.503 0.503

Symmetry: No. 38
Size of the total moment: 0.00 μB/f.u.

Which one sits at the bottom of the stability order? i does.

--- i ---
Here is a relaxed structure of Cd3InSn from the Alexandria database. Energies are from GGA-PBE.

abc: 6.523 6.523 6.523
angles: 80.78 80.78 80.78
Element x y z (fractional)
1 Cd 0.004 0.308 0.688
2 Cd 0.188 0.808 0.504
3 Cd 0.308 0.688 0.004
4 Cd 0.504 0.188 0.808
5 Cd 0.688 0.004 0.308
6 Cd 0.808 0.504 0.188
7 In 0.377 0.377 0.377
8 In 0.877 0.877 0.877
9 Sn 0.134 0.134 0.134
10 Sn 0.634 0.634 0.634

Symmetry: No. 161
Size of the total moment: 0.00 μB/f.u.

--- ii ---
Here is a relaxed structure of Cd3InSn from the Alexandria database. Energies are from GGA-PBE.

abc: 8.976 8.976 6.648
angles: 106.19 106.19 29.03
Element x y z (fractional)
1 Cd 0.003 0.003 0.259
2 Cd 0.201 0.201 0.364
3 Cd 0.404 0.404 0.448
4 Cd 0.596 0.596 0.552
5 Cd 0.799 0.799 0.636
6 Cd 0.997 0.997 0.741
7 In 0.401 0.401 0.939
8 In 0.599 0.599 0.061
9 Sn 0.196 0.196 0.853
10 Sn 0.804 0.804 0.147

Symmetry: No. 12
Size of the total moment: 0.00 μB/f.u.

--- iii ---
Here is a relaxed structure of Cd3InSn from the Alexandria database. Energies are from GGA-PBE.

abc: 5.616 5.616 5.616
angles: 90.00 90.00 90.00
Element x y z (fractional)
1 Cd 0.000 0.000 0.500
2 Cd 0.000 0.500 0.000
3 Cd 0.500 0.000 0.000
4 In 0.500 0.500 0.500
5 Sn 0.000 0.000 0.000

Symmetry: No. 221
Size of the total moment: 0.00 μB/f.u.

Which one sits at the bottom of the stability order? iii does.

--- i ---
Here is a relaxed structure of Cd3In6Sn from the Alexandria database. Energies are from GGA-PBE.

abc: 9.447 9.447 6.319
angles: 90.00 90.00 107.08
Element x y z (fractional)
1 Cd 0.052 0.948 0.500
2 Cd 0.246 0.489 0.680
3 Cd 0.489 0.246 0.180
4 Cd 0.511 0.754 0.680
5 Cd 0.754 0.511 0.180
6 Cd 0.948 0.052 0.000
7 In 0.057 0.470 0.083
8 In 0.184 0.816 0.897
9 In 0.186 0.252 0.332
10 In 0.252 0.186 0.832
11 In 0.433 0.567 0.130
12 In 0.470 0.057 0.583
13 In 0.530 0.943 0.083
14 In 0.567 0.433 0.630
15 In 0.748 0.814 0.332
16 In 0.814 0.748 0.832
17 In 0.816 0.184 0.397
18 In 0.943 0.530 0.583
19 Sn 0.245 0.755 0.375
20 Sn 0.755 0.245 0.875

Symmetry: No. 36
Size of the total moment: 0.00 μB/f.u.

--- ii ---
Here is a relaxed structure of Cd3In6Sn from the Alexandria database. Energies are from GGA-PBE.

abc: 12.065 3.190 13.894
angles: 90.00 100.95 90.00
Element x y z (fractional)
1 Cd 0.061 0.250 0.094
2 Cd 0.381 0.750 0.500
3 Cd 0.438 0.250 0.904
4 Cd 0.562 0.750 0.096
5 Cd 0.619 0.250 0.500
6 Cd 0.939 0.750 0.906
7 In 0.135 0.250 0.489
8 In 0.194 0.750 0.907
9 In 0.205 0.750 0.284
10 In 0.295 0.750 0.702
11 In 0.325 0.250 0.107
12 In 0.468 0.750 0.304
13 In 0.532 0.250 0.696
14 In 0.675 0.750 0.893
15 In 0.705 0.250 0.298
16 In 0.795 0.250 0.716
17 In 0.806 0.250 0.093
18 In 0.865 0.750 0.511
19 Sn 0.050 0.250 0.700
20 Sn 0.950 0.750 0.300

Symmetry: No. 11
Size of the total moment: 0.00 μB/f.u.

Which one sits at the bottom of the stability order? i does.

--- i ---
Here is a relaxed structure of Cd6In12Sn from the Alexandria database. Energies are from GGA-PBE.

abc: 8.314 8.314 8.314
angles: 103.22 103.22 103.22
Element x y z (fractional)
1 Cd 0.072 0.334 0.225
2 Cd 0.225 0.072 0.334
3 Cd 0.334 0.225 0.072
4 Cd 0.666 0.775 0.928
5 Cd 0.775 0.928 0.666
6 Cd 0.928 0.666 0.775
7 In 0.022 0.676 0.158
8 In 0.158 0.022 0.676
9 In 0.184 0.647 0.552
10 In 0.324 0.842 0.978
11 In 0.353 0.448 0.816
12 In 0.448 0.816 0.353
13 In 0.552 0.184 0.647
14 In 0.647 0.552 0.184
15 In 0.676 0.158 0.022
16 In 0.816 0.353 0.448
17 In 0.842 0.978 0.324
18 In 0.978 0.324 0.842
19 Sn 0.500 0.500 0.500

Symmetry: No. 148
Size of the total moment: 0.00 μB/f.u.

--- ii ---
Here is a relaxed structure of Cd6In12Sn from the Alexandria database. Energies are from GGA-PBE.

abc: 8.942 8.942 8.942
angles: 109.41 109.41 109.41
Element x y z (fractional)
1 Cd 0.105 0.332 0.332
2 Cd 0.332 0.105 0.332
3 Cd 0.332 0.332 0.105
4 Cd 0.668 0.668 0.895
5 Cd 0.668 0.895 0.668
6 Cd 0.895 0.668 0.668
7 In 0.000 0.374 0.626
8 In 0.000 0.626 0.374
9 In 0.048 0.048 0.695
10 In 0.048 0.695 0.048
11 In 0.305 0.952 0.952
12 In 0.374 0.000 0.626
13 In 0.374 0.626 0.000
14 In 0.626 0.000 0.374
15 In 0.626 0.374 0.000
16 In 0.695 0.048 0.048
17 In 0.952 0.305 0.952
18 In 0.952 0.952 0.305
19 Sn 0.500 0.500 0.500

Symmetry: No. 166
Size of the total moment: 0.00 μB/f.u.

Which one sits at the bottom of the stability order? ii does.

--- i ---
Here is a relaxed structure of CdIn4Sn from the Alexandria database. Energies are from GGA-PBE.

abc: 5.698 5.698 7.108
angles: 102.07 102.07 45.28
Element x y z (fractional)
1 Cd 0.000 0.000 0.000
2 In 0.332 0.332 0.672
3 In 0.338 0.338 0.162
4 In 0.662 0.662 0.838
5 In 0.668 0.668 0.328
6 Sn 0.000 0.000 0.500

Symmetry: No. 12
Size of the total moment: 0.00 μB/f.u.

--- ii ---
Here is a relaxed structure of CdIn4Sn from the Alexandria database. Energies are from GGA-PBE.

abc: 6.217 6.217 6.217
angles: 60.00 60.00 60.00
Element x y z (fractional)
1 Cd 0.000 0.000 0.000
2 In 0.375 0.375 0.375
3 In 0.375 0.375 0.875
4 In 0.375 0.875 0.375
5 In 0.875 0.375 0.375
6 Sn 0.750 0.750 0.750

Symmetry: No. 216
Size of the total moment: 0.00 μB/f.u.

Which one sits at the bottom of the stability order? ii does.